1.
The following is a GGA-PBE calculation of a geometry-optimized Th2BRh6Pb structure, from Alexandria. Values from VASP.

Summary:
space group	Pmmn
VASP energy	-150.907	eV/cell
E_form	-0.61	eV/atom

```
&SYSTEM
  ibrav = 0, nat = 20, ntyp = 4
/
ATOMIC_SPECIES
Th 232.04 Th.upf
B 10.81 B.upf
Rh 102.91 Rh.upf
Pb 207.20 Pb.upf
CELL_PARAMETERS angstrom
5.7838 0.0000 0.0000
0.0000 8.6054 0.0000
0.0000 0.0000 7.7160
ATOMIC_POSITIONS angstrom
Th 1.4459 0.0557 1.8468
Th 1.4459 4.2470 1.8468
Th 4.3378 4.3585 5.8692
Th 4.3378 8.5497 5.8692
B 1.4459 2.1514 6.4092
B 4.3378 6.4541 1.3068
Rh 0.0261 2.1514 4.8794
Rh 0.0408 6.4541 7.5563
Rh 1.4459 0.0892 6.6331
Rh 1.4459 4.2135 6.6331
Rh 2.8511 6.4541 7.5563
Rh 2.8658 2.1514 4.8794
Rh 2.9180 6.4541 2.8366
Rh 2.9326 2.1514 0.1596
Rh 4.3378 4.3919 1.0829
Rh 4.3378 8.5162 1.0829
Rh 5.7430 2.1514 0.1596
Rh 5.7577 6.4541 2.8366
Pb 1.4459 6.4541 5.0744
Pb 4.3378 2.1514 2.6416
```

2.
The following is a GGA-PBE calculation of a geometry-optimized TlBRh2Pb structure, from Alexandria. Values from VASP.

Summary:
space group	P4/mmm
VASP energy	-25.816	eV/cell
E_form	0.33	eV/atom

```
&SYSTEM
  ibrav = 0, nat = 5, ntyp = 4
/
ATOMIC_SPECIES
Tl 204.38 Tl.upf
B 10.81 B.upf
Rh 102.91 Rh.upf
Pb 207.20 Pb.upf
CELL_PARAMETERS angstrom
4.3223 0.0000 0.0000
0.0000 4.3223 0.0000
0.0000 0.0000 4.8319
ATOMIC_POSITIONS angstrom
Tl 0.0000 0.0000 0.0000
B 0.0000 0.0000 2.4159
Rh 0.0000 2.1611 2.4159
Rh 2.1611 0.0000 2.4159
Pb 2.1611 2.1611 0.0000
```

3.
The following is a GGA-PBE calculation of a geometry-optimized BRhPbW2 structure, from Alexandria. Values from VASP.

Summary:
space group	P4/mmm
VASP energy	-25.554	eV/cell
E_form	3.62	eV/atom

```
&SYSTEM
  ibrav = 0, nat = 5, ntyp = 4
/
ATOMIC_SPECIES
B 10.81 B.upf
Rh 102.91 Rh.upf
Pb 207.20 Pb.upf
W 183.84 W.upf
CELL_PARAMETERS angstrom
5.0594 0.0000 0.0000
0.0000 5.0594 0.0000
0.0000 0.0000 4.8657
ATOMIC_POSITIONS angstrom
B 0.0000 0.0000 0.0000
Rh 2.5297 2.5297 0.0000
Pb 2.5297 2.5297 2.4328
W 0.0000 2.5297 2.4328
W 2.5297 0.0000 2.4328
```

4.
The following is a GGA-PBE calculation of a geometry-optimized Y2BRhPb structure, from Alexandria. Values from VASP.

Summary:
space group	P4/mmm
VASP energy	-33.045	eV/cell
E_form	-0.48	eV/atom

```
&SYSTEM
  ibrav = 0, nat = 5, ntyp = 4
/
ATOMIC_SPECIES
Y 88.91 Y.upf
B 10.81 B.upf
Rh 102.91 Rh.upf
Pb 207.20 Pb.upf
CELL_PARAMETERS angstrom
5.1362 0.0000 0.0000
0.0000 5.1362 0.0000
0.0000 0.0000 4.0869
ATOMIC_POSITIONS angstrom
Y 0.0000 2.5681 0.0000
Y 2.5681 0.0000 0.0000
B 0.0000 0.0000 0.0000
Rh 0.0000 0.0000 2.0434
Pb 2.5681 2.5681 2.0434
```

- Among the records above, which one has the highest VASP energy?
  BRhPbW2